1.
# Tm6AlPd2, optimized geometry, DFT PBE-GGA
data_Tm6AlPd2
_symmetry_space_group_name_H-M 'P 1'
_symmetry_Int_Tables_number 1
_symmetry_space_group_name_Hall 'P 1'
_cell_length_a 8.368
_cell_length_b 8.368
_cell_length_c 8.368
_cell_angle_alpha 112.42
_cell_angle_beta 111.01
_cell_angle_gamma 105.08
loop_
_atom_site_label
_atom_site_type_symbol
_atom_site_fract_x
_atom_site_fract_y
_atom_site_fract_z
Tm1 Tm 0.045 0.239 0.806
Tm2 Tm 0.181 0.284 0.466
Tm3 Tm 0.181 0.716 0.897
Tm4 Tm 0.328 0.032 0.703
Tm5 Tm 0.328 0.625 0.297
Tm6 Tm 0.434 0.239 0.194
Tm7 Tm 0.566 0.761 0.806
Tm8 Tm 0.672 0.375 0.703
Tm9 Tm 0.672 0.968 0.297
Tm10 Tm 0.819 0.284 0.103
Tm11 Tm 0.819 0.716 0.534
Tm12 Tm 0.955 0.761 0.194
Al1 Al 0.000 0.000 0.000
Al2 Al 0.500 0.500 0.000
Pd1 Pd 0.134 0.634 0.500
Pd2 Pd 0.340 0.000 0.340
Pd3 Pd 0.660 0.000 0.660
Pd4 Pd 0.866 0.366 0.500
# - Space group: Immm, No. 71
# - DFT total energy: -5.09 eV/atom

2.
# YTmAl4Pd2, optimized geometry, DFT PBE-GGA
data_YTmAl4Pd2
_symmetry_space_group_name_H-M 'P 1'
_symmetry_Int_Tables_number 1
_symmetry_space_group_name_Hall 'P 1'
_cell_length_a 6.923
_cell_length_b 4.281
_cell_length_c 10.170
_cell_angle_alpha 90.00
_cell_angle_beta 90.00
_cell_angle_gamma 90.00
loop_
_atom_site_label
_atom_site_type_symbol
_atom_site_fract_x
_atom_site_fract_y
_atom_site_fract_z
Y1 Y 0.000 0.000 0.000
Y2 Y 0.000 0.500 0.500
Tm1 Tm 0.500 0.000 0.856
Tm2 Tm 0.500 0.500 0.356
Al1 Al 0.198 0.000 0.288
Al2 Al 0.198 0.500 0.788
Al3 Al 0.304 0.000 0.569
Al4 Al 0.304 0.500 0.069
Al5 Al 0.696 0.000 0.569
Al6 Al 0.696 0.500 0.069
Al7 Al 0.802 0.000 0.288
Al8 Al 0.802 0.500 0.788
Pd1 Pd 0.000 0.000 0.717
Pd2 Pd 0.000 0.500 0.217
Pd3 Pd 0.500 0.000 0.138
Pd4 Pd 0.500 0.500 0.638
# - Space group: Amm2, No. 38
# - DFT total energy: -5.33 eV/atom

3.
# YAlPd2, optimized geometry, DFT PBE-GGA
data_YAlPd2
_symmetry_space_group_name_H-M 'P 1'
_symmetry_Int_Tables_number 1
_symmetry_space_group_name_Hall 'P 1'
_cell_length_a 4.366
_cell_length_b 4.366
_cell_length_c 9.173
_cell_angle_alpha 90.00
_cell_angle_beta 90.00
_cell_angle_gamma 120.00
loop_
_atom_site_label
_atom_site_type_symbol
_atom_site_fract_x
_atom_site_fract_y
_atom_site_fract_z
Y1 Y 0.333 0.667 0.250
Y2 Y 0.667 0.333 0.750
Al1 Al 0.000 0.000 0.000
Al2 Al 0.000 0.000 0.500
Pd1 Pd 0.333 0.667 0.578
Pd2 Pd 0.333 0.667 0.922
Pd3 Pd 0.667 0.333 0.078
Pd4 Pd 0.667 0.333 0.422
# - Space group: P6_3/mmc, No. 194
# - DFT total energy: -6.08 eV/atom

4.
# YAlPd2, optimized geometry, DFT PBE-GGA
data_YAlPd2
_symmetry_space_group_name_H-M 'P 1'
_symmetry_Int_Tables_number 1
_symmetry_space_group_name_Hall 'P 1'
_cell_length_a 4.360
_cell_length_b 4.360
_cell_length_c 9.178
_cell_angle_alpha 90.00
_cell_angle_beta 90.00
_cell_angle_gamma 120.00
loop_
_atom_site_label
_atom_site_type_symbol
_atom_site_fract_x
_atom_site_fract_y
_atom_site_fract_z
Y1 Y 0.000 0.000 0.000
Y2 Y 0.333 0.667 0.500
Al1 Al 0.667 0.333 0.250
Al2 Al 0.667 0.333 0.748
Pd1 Pd 0.000 0.000 0.330
Pd2 Pd 0.000 0.000 0.671
Pd3 Pd 0.333 0.667 0.170
Pd4 Pd 0.333 0.667 0.830
# - Space group: P3m1, No. 156
# - DFT total energy: -6.08 eV/atom

5.
# Y2Al8Pd, optimized geometry, DFT PBE-GGA
data_Y2Al8Pd
_symmetry_space_group_name_H-M 'P 1'
_symmetry_Int_Tables_number 1
_symmetry_space_group_name_Hall 'P 1'
_cell_length_a 4.298
_cell_length_b 4.298
_cell_length_c 11.167
_cell_angle_alpha 90.00
_cell_angle_beta 90.00
_cell_angle_gamma 90.00
loop_
_atom_site_label
_atom_site_type_symbol
_atom_site_fract_x
_atom_site_fract_y
_atom_site_fract_z
Y1 Y 0.000 0.000 0.188
Y2 Y 0.000 0.000 0.812
Al1 Al 0.000 0.500 0.000
Al2 Al 0.000 0.500 0.375
Al3 Al 0.000 0.500 0.625
Al4 Al 0.500 0.000 0.000
Al5 Al 0.500 0.000 0.375
Al6 Al 0.500 0.000 0.625
Al7 Al 0.500 0.500 0.194
Al8 Al 0.500 0.500 0.806
Pd1 Pd 0.000 0.000 0.500
# - Space group: P4/mmm, No. 123
# - DFT total energy: -4.86 eV/atom

6.
# YAl2Pd2, optimized geometry, DFT PBE-GGA
data_YAl2Pd2
_symmetry_space_group_name_H-M 'P 1'
_symmetry_Int_Tables_number 1
_symmetry_space_group_name_Hall 'P 1'
_cell_length_a 4.070
_cell_length_b 4.070
_cell_length_c 11.274
_cell_angle_alpha 90.00
_cell_angle_beta 90.00
_cell_angle_gamma 90.00
loop_
_atom_site_label
_atom_site_type_symbol
_atom_site_fract_x
_atom_site_fract_y
_atom_site_fract_z
Y1 Y 0.000 0.000 0.000
Y2 Y 0.500 0.500 0.500
Al1 Al 0.000 0.500 0.250
Al2 Al 0.000 0.500 0.750
Al3 Al 0.500 0.000 0.250
Al4 Al 0.500 0.000 0.750
Pd1 Pd 0.000 0.000 0.381
Pd2 Pd 0.000 0.000 0.619
Pd3 Pd 0.500 0.500 0.119
Pd4 Pd 0.500 0.500 0.881
# - Space group: I4/mmm, No. 139
# - DFT total energy: -5.71 eV/atom

7.
# Y2Al3Pd4, optimized geometry, DFT PBE-GGA
data_Y2Al3Pd4
_symmetry_space_group_name_H-M 'P 1'
_symmetry_Int_Tables_number 1
_symmetry_space_group_name_Hall 'P 1'
_cell_length_a 8.129
_cell_length_b 8.129
_cell_length_c 7.638
_cell_angle_alpha 90.00
_cell_angle_beta 90.00
_cell_angle_gamma 139.83
loop_
_atom_site_label
_atom_site_type_symbol
_atom_site_fract_x
_atom_site_fract_y
_atom_site_fract_z
Y1 Y 0.108 0.892 0.913
Y2 Y 0.392 0.608 0.413
Y3 Y 0.608 0.392 0.587
Y4 Y 0.892 0.108 0.087
Al1 Al 0.000 0.000 0.500
Al2 Al 0.021 0.479 0.750
Al3 Al 0.479 0.021 0.250
Al4 Al 0.500 0.500 0.000
Al5 Al 0.521 0.979 0.750
Al6 Al 0.979 0.521 0.250
Pd1 Pd 0.183 0.817 0.521
Pd2 Pd 0.189 0.311 0.750
Pd3 Pd 0.311 0.189 0.250
Pd4 Pd 0.317 0.683 0.021
Pd5 Pd 0.683 0.317 0.979
Pd6 Pd 0.689 0.811 0.750
Pd7 Pd 0.811 0.689 0.250
Pd8 Pd 0.817 0.183 0.479
# - Space group: Cmce, No. 64
# - DFT total energy: -5.91 eV/atom

8.
# YAlPd, optimized geometry, DFT PBE-GGA
data_YAlPd
_symmetry_space_group_name_H-M 'P 1'
_symmetry_Int_Tables_number 1
_symmetry_space_group_name_Hall 'P 1'
_cell_length_a 6.934
_cell_length_b 4.447
_cell_length_c 7.748
_cell_angle_alpha 90.00
_cell_angle_beta 90.00
_cell_angle_gamma 90.00
loop_
_atom_site_label
_atom_site_type_symbol
_atom_site_fract_x
_atom_site_fract_y
_atom_site_fract_z
Y1 Y 0.029 0.250 0.182
Y2 Y 0.471 0.750 0.682
Y3 Y 0.529 0.250 0.318
Y4 Y 0.971 0.750 0.818
Al1 Al 0.148 0.250 0.565
Al2 Al 0.352 0.750 0.065
Al3 Al 0.648 0.250 0.935
Al4 Al 0.852 0.750 0.435
Pd1 Pd 0.224 0.750 0.385
Pd2 Pd 0.276 0.250 0.885
Pd3 Pd 0.724 0.750 0.115
Pd4 Pd 0.776 0.250 0.615
# - Space group: Pnma, No. 62
# - DFT total energy: -6.02 eV/atom

9.
# Y2AlPd, optimized geometry, DFT PBE-GGA
data_Y2AlPd
_symmetry_space_group_name_H-M 'P 1'
_symmetry_Int_Tables_number 1
_symmetry_space_group_name_Hall 'P 1'
_cell_length_a 6.989
_cell_length_b 6.989
_cell_length_c 6.989
_cell_angle_alpha 90.00
_cell_angle_beta 90.00
_cell_angle_gamma 90.00
loop_
_atom_site_label
_atom_site_type_symbol
_atom_site_fract_x
_atom_site_fract_y
_atom_site_fract_z
Y1 Y 0.000 0.000 0.000
Y2 Y 0.000 0.500 0.500
Y3 Y 0.250 0.250 0.250
Y4 Y 0.250 0.750 0.750
Y5 Y 0.500 0.000 0.500
Y6 Y 0.500 0.500 0.000
Y7 Y 0.750 0.250 0.750
Y8 Y 0.750 0.750 0.250
Al1 Al 0.000 0.000 0.500
Al2 Al 0.000 0.500 0.000
Al3 Al 0.500 0.000 0.000
Al4 Al 0.500 0.500 0.500
Pd1 Pd 0.250 0.250 0.750
Pd2 Pd 0.250 0.750 0.250
Pd3 Pd 0.750 0.250 0.250
Pd4 Pd 0.750 0.750 0.750
# - Space group: F-43m, No. 216
# - DFT total energy: -5.78 eV/atom

10.
# YAl2Pd3, optimized geometry, DFT PBE-GGA
data_YAl2Pd3
_symmetry_space_group_name_H-M 'P 1'
_symmetry_Int_Tables_number 1
_symmetry_space_group_name_Hall 'P 1'
_cell_length_a 4.352
_cell_length_b 4.352
_cell_length_c 12.714
_cell_angle_alpha 90.00
_cell_angle_beta 90.00
_cell_angle_gamma 120.00
loop_
_atom_site_label
_atom_site_type_symbol
_atom_site_fract_x
_atom_site_fract_y
_atom_site_fract_z
Y1 Y 0.000 0.000 0.250
Y2 Y 0.000 0.000 0.750
Al1 Al 0.333 0.667 0.075
Al2 Al 0.333 0.667 0.425
Al3 Al 0.667 0.333 0.575
Al4 Al 0.667 0.333 0.925
Pd1 Pd 0.000 0.000 0.000
Pd2 Pd 0.000 0.000 0.500
Pd3 Pd 0.333 0.667 0.627
Pd4 Pd 0.333 0.667 0.873
Pd5 Pd 0.667 0.333 0.127
Pd6 Pd 0.667 0.333 0.373
# - Space group: P6_3/mmc, No. 194
# - DFT total energy: -5.86 eV/atom

11.
# YAlPd2, optimized geometry, DFT PBE-GGA
data_YAlPd2
_symmetry_space_group_name_H-M 'P 1'
_symmetry_Int_Tables_number 1
_symmetry_space_group_name_Hall 'P 1'
_cell_length_a 6.630
_cell_length_b 6.630
_cell_length_c 6.630
_cell_angle_alpha 90.00
_cell_angle_beta 90.00
_cell_angle_gamma 90.00
loop_
_atom_site_label
_atom_site_type_symbol
_atom_site_fract_x
_atom_site_fract_y
_atom_site_fract_z
Y1 Y 0.000 0.000 0.000
Y2 Y 0.000 0.500 0.500
Y3 Y 0.500 0.000 0.500
Y4 Y 0.500 0.500 0.000
Al1 Al 0.250 0.250 0.750
Al2 Al 0.250 0.750 0.250
Al3 Al 0.750 0.250 0.250
Al4 Al 0.750 0.750 0.750
Pd1 Pd 0.000 0.000 0.500
Pd2 Pd 0.000 0.500 0.000
Pd3 Pd 0.250 0.250 0.250
Pd4 Pd 0.250 0.750 0.750
Pd5 Pd 0.500 0.000 0.000
Pd6 Pd 0.500 0.500 0.500
Pd7 Pd 0.750 0.250 0.750
Pd8 Pd 0.750 0.750 0.250
# - Space group: F-43m, No. 216
# - DFT total energy: -5.70 eV/atom

12.
# YAl2Pd5, optimized geometry, DFT PBE-GGA
data_YAl2Pd5
_symmetry_space_group_name_H-M 'P 1'
_symmetry_Int_Tables_number 1
_symmetry_space_group_name_Hall 'P 1'
_cell_length_a 4.139
_cell_length_b 4.139
_cell_length_c 14.928
_cell_angle_alpha 90.00
_cell_angle_beta 90.00
_cell_angle_gamma 90.00
loop_
_atom_site_label
_atom_site_type_symbol
_atom_site_fract_x
_atom_site_fract_y
_atom_site_fract_z
Y1 Y 0.000 0.000 0.000
Y2 Y 0.500 0.500 0.500
Al1 Al 0.000 0.000 0.253
Al2 Al 0.000 0.000 0.747
Al3 Al 0.500 0.500 0.247
Al4 Al 0.500 0.500 0.753
Pd1 Pd 0.000 0.000 0.500
Pd2 Pd 0.000 0.500 0.145
Pd3 Pd 0.000 0.500 0.355
Pd4 Pd 0.000 0.500 0.645
Pd5 Pd 0.000 0.500 0.855
Pd6 Pd 0.500 0.000 0.145
Pd7 Pd 0.500 0.000 0.355
Pd8 Pd 0.500 0.000 0.645
Pd9 Pd 0.500 0.000 0.855
Pd10 Pd 0.500 0.500 0.000
# - Space group: I4/mmm, No. 139
# - DFT total energy: -5.92 eV/atom